Entry 1:
VASP calculation (PBE) on a relaxed structure of Pa2InTe.

The raw formation energy is -0.065 eV per atom. As for the energy relative to the lowest polymorph listed for this composition: 170 meV per atom.

Unit cell a=4.4784 b=4.4784 c=20.2662 alpha=90.00 beta=90.00 gamma=120.00
Closest atoms and distances in Å follow each position.
Space group R-3m (No. 166, hexagonal axes)
Inequivalent atoms, fractional coordinates:
Pa: 0.0000 0.0000 0.2502  3 Te 3.09, 3 In 3.09
In: 0.0000 0.0000 0.5000  6 Pa 3.09
Te: 0.0000 0.0000 0.0000  6 Pa 3.09

=====

Entry 2:
VASP calculation (PBE) on a relaxed structure of MnNiAg2Br6.

The raw formation energy is -0.377 eV per atom.

Unit cell a=6.9507 b=6.9507 c=18.2326 alpha=90.00 beta=90.00 gamma=120.00
Closest atoms and distances in Å follow each position.
Space group R3 (No. 146, hexagonal axes)
Inequivalent atoms, fractional coordinates:
Mn: 0.0000 0.0000 0.0000  6 Br 2.68-2.78
Ni: 0.0000 0.0000 0.4967  6 Br 2.57-2.62
Ag: 0.0000 0.0000 0.2849  3 Br 2.74
Ag: 0.0000 0.0000 0.7927  6 Br 2.75-3.05
Br: 0.0056 0.3795 0.2409  1 Ni 2.57, 1 Ag 2.74, 1 Mn 2.78
Br: 0.0493 0.6991 0.0771  1 Ni 2.62, 1 Mn 2.68, 1 Ag 2.75

=====

Entry 3:
VASP calculation (PBE) on a relaxed structure of Sr2LiZnCd6.

The energy of formation comes out at -1.39 eV per formula unit.

Unit cell a=10.2000 b=10.2823 c=7.2088 alpha=90.00 beta=134.81 gamma=90.00
Closest atoms and distances in Å follow each position.
Space group C2/m (No. 12)
Inequivalent atoms, fractional coordinates:
Sr: 0.0000 0.2116 0.0000  12 Cd 3.63-3.68
Li: 0.0000 0.5000 0.5000  6 Cd 2.51-2.53
Zn: 0.0000 0.0000 0.5000  6 Cd 2.63-2.64
Cd: 0.0000 0.2563 0.5000  1 Li 2.51, 1 Zn 2.64
Cd: 0.2069 0.5000 0.4236  1 Li 2.53, 1 Zn 2.63
Cd: 0.2084 0.5000 0.9903  1 Li 2.53, 1 Zn 2.64

=====

Quick rundown of mass density, same order as above: 10.0 5.3 5.7 g/cm3
Quick rundown of Fermi-level density of states, same order as above: 23.4 2.6 8.5 states/eV/cell